1.
First-principles (meta-GGA SCAN) data for K2AlIr at its PBEsol-relaxed geometry, as listed in the Alexandria database.

a = 5.300 Å, b = 10.908 Å, c = 3.061 Å
α = 90.00°, β = 90.00°, γ = 90.00°
Space group Cmmm (No. 65)
Asymmetric unit:
K: 0.250 0.250 0.000 [4 per cell]
Al: 0.000 0.000 0.500 [2 per cell]
Ir: 0.000 0.500 0.500 [2 per cell]

energy of formation from the pure elements = 0.673 eV per atom
spin magnetization = 0.064 μB per atom

***

2.
First-principles (meta-GGA SCAN) data for KAlIr2Pd at its PBEsol-relaxed geometry, as listed in the Alexandria database.

a = 4.578 Å, b = 4.578 Å, c = 4.693 Å
α = 90.00°, β = 90.00°, γ = 90.00°
Space group P4/mmm (No. 123)
Asymmetric unit:
K: 0.000 0.000 0.000 [1 per cell]
Al: 0.500 0.500 0.500 [1 per cell]
Ir: 0.000 0.500 0.500 [2 per cell]
Pd: 0.500 0.500 0.000 [1 per cell]

energy of formation from the pure elements = 0.684 eV per atom
spin magnetization = 0.255 μB per atom

***

3.
First-principles (meta-GGA SCAN) data for KScAlIr2 at its PBEsol-relaxed geometry, as listed in the Alexandria database.

a = 4.771 Å, b = 4.771 Å, c = 5.252 Å
α = 90.00°, β = 90.00°, γ = 90.00°
Space group P4/mmm (No. 123)
Asymmetric unit:
K: 0.000 0.000 0.000 [1 per cell]
Sc: 0.500 0.500 0.500 [1 per cell]
Al: 0.500 0.500 0.000 [1 per cell]
Ir: 0.000 0.500 0.500 [2 per cell]

energy of formation from the pure elements = 0.965 eV per atom
spin magnetization = 0.000 μB per atom

***

4.
First-principles (meta-GGA SCAN) data for KAl2SnIr at its PBEsol-relaxed geometry, as listed in the Alexandria database.

a = 4.802 Å, b = 4.802 Å, c = 5.197 Å
α = 90.00°, β = 90.00°, γ = 90.00°
Space group P4/mmm (No. 123)
Asymmetric unit:
K: 0.000 0.000 0.000 [1 per cell]
Al: 0.000 0.500 0.500 [2 per cell]
Sn: 0.500 0.500 0.000 [1 per cell]
Ir: 0.500 0.500 0.500 [1 per cell]

energy of formation from the pure elements = -0.212 eV per atom
spin magnetization = 0.000 μB per atom

***

5.
First-principles (meta-GGA SCAN) data for La2AlIr at its PBEsol-relaxed geometry, as listed in the Alexandria database.

a = 4.512 Å, b = 3.899 Å, c = 6.145 Å
α = 90.00°, β = 111.61°, γ = 90.00°
Space group Pm (No. 6)
Asymmetric unit:
La: 0.000 0.000 0.000 [1 per cell]
La: 0.289 0.500 0.577 [1 per cell]
Al: 0.595 0.500 0.189 [1 per cell]
Ir: 0.738 0.000 0.475 [1 per cell]

energy of formation from the pure elements = -0.688 eV per atom
spin magnetization = 0.000 μB per atom

***

6.
First-principles (meta-GGA SCAN) data for LaAlIr3 at its PBEsol-relaxed geometry, as listed in the Alexandria database.

a = 4.540 Å, b = 4.540 Å, c = 4.540 Å
α = 90.00°, β = 90.00°, γ = 90.00°
Space group Pm-3m (No. 221)
Asymmetric unit:
La: 0.000 0.000 0.000 [1 per cell]
Al: 0.500 0.500 0.500 [1 per cell]
Ir: 0.000 0.500 0.500 [3 per cell]

energy of formation from the pure elements = -0.138 eV per atom
spin magnetization = 0.000 μB per atom

***

7.
First-principles (meta-GGA SCAN) data for LaAl2Ir at its PBEsol-relaxed geometry, as listed in the Alexandria database.

a = 4.3517 Å, b = 4.3517 Å, c = 15.6369 Å
α = 90.00°, β = 90.00°, γ = 120.00°
Space group R3m (No. 160, hexagonal axes)
Asymmetric unit:
La: 0.0000 0.0000 0.0000 [3 per cell]
Al: 0.0000 0.0000 0.5319 [3 per cell]
Al: 0.0000 0.0000 0.8009 [3 per cell]
Ir: 0.0000 0.0000 0.1848 [3 per cell]

energy of formation from the pure elements = -0.866 eV per atom
spin magnetization = 0.003 μB per atom

***

8.
First-principles (meta-GGA SCAN) data for La2AlIr at its PBEsol-relaxed geometry, as listed in the Alexandria database.

a = 4.5141 Å, b = 4.5141 Å, c = 16.0732 Å
α = 90.00°, β = 90.00°, γ = 120.00°
Space group R3m (No. 160, hexagonal axes)
Asymmetric unit:
La: 0.0000 0.0000 0.0000 [3 per cell]
La: 0.0000 0.0000 0.2075 [3 per cell]
Al: 0.0000 0.0000 0.7707 [3 per cell]
Ir: 0.0000 0.0000 0.4295 [3 per cell]

energy of formation from the pure elements = -0.712 eV per atom
spin magnetization = 0.007 μB per atom

***

9.
First-principles (meta-GGA SCAN) data for La2AlIr at its PBEsol-relaxed geometry, as listed in the Alexandria database.

a = 3.691 Å, b = 3.691 Å, c = 7.055 Å
α = 90.00°, β = 90.00°, γ = 90.00°
Space group P4/mmm (No. 123)
Asymmetric unit:
La: 0.000 0.000 0.228 [2 per cell]
Al: 0.500 0.500 0.500 [1 per cell]
Ir: 0.500 0.500 0.000 [1 per cell]

energy of formation from the pure elements = -0.529 eV per atom
spin magnetization = 0.000 μB per atom

***

10.
First-principles (meta-GGA SCAN) data for La2Al9Ir3 at its PBEsol-relaxed geometry, as listed in the Alexandria database.

a = 13.103 Å, b = 7.678 Å, c = 9.570 Å
α = 90.00°, β = 90.00°, γ = 90.00°
Space group Cmcm (No. 63)
Asymmetric unit:
La: 0.162 0.167 0.250 [8 per cell]
Al: 0.000 0.132 0.750 [4 per cell]
Al: 0.000 0.334 0.043 [8 per cell]
Al: 0.103 0.443 0.750 [8 per cell]
Al: 0.166 0.169 0.573 [16 per cell]
Ir: 0.000 0.000 0.000 [4 per cell]
Ir: 0.171 0.500 0.000 [8 per cell]

energy of formation from the pure elements = -0.966 eV per atom
spin magnetization = 0.008 μB per atom

***

11.
First-principles (meta-GGA SCAN) data for LaAl2Ir at its PBEsol-relaxed geometry, as listed in the Alexandria database.

a = 4.2275 Å, b = 4.2275 Å, c = 16.1947 Å
α = 90.00°, β = 90.00°, γ = 120.00°
Space group R-3m (No. 166, hexagonal axes)
Asymmetric unit:
La: 0.0000 0.0000 0.0000 [3 per cell]
Al: 0.0000 0.0000 0.2048 [6 per cell]
Ir: 0.0000 0.0000 0.5000 [3 per cell]

energy of formation from the pure elements = -0.883 eV per atom
spin magnetization = 0.028 μB per atom

***

12.
First-principles (meta-GGA SCAN) data for Li3AlIr at its PBEsol-relaxed geometry, as listed in the Alexandria database.

a = 4.545 Å, b = 4.545 Å, c = 4.545 Å
α = 90.00°, β = 90.00°, γ = 90.00°
Space group Pm-3m (No. 221)
Asymmetric unit:
Li: 0.000 0.000 0.500 [3 per cell]
Al: 0.500 0.500 0.500 [1 per cell]
Ir: 0.000 0.000 0.000 [1 per cell]

energy of formation from the pure elements = 0.539 eV per atom
spin magnetization = 0.000 μB per atom

***

13.
First-principles (meta-GGA SCAN) data for Li2AlIr2 at its PBEsol-relaxed geometry, as listed in the Alexandria database.

a = 6.192 Å, b = 6.192 Å, c = 3.986 Å
α = 90.00°, β = 90.00°, γ = 90.00°
Space group P4/mbm (No. 127)
Asymmetric unit:
Li: 0.161 0.339 0.000 [4 per cell]
Al: 0.000 0.000 0.500 [2 per cell]
Ir: 0.139 0.639 0.500 [4 per cell]

energy of formation from the pure elements = -0.225 eV per atom
spin magnetization = 0.083 μB per atom

***

14.
First-principles (meta-GGA SCAN) data for LiAl2Ir2 at its PBEsol-relaxed geometry, as listed in the Alexandria database.

a = 7.146 Å, b = 7.146 Å, c = 2.862 Å
α = 90.00°, β = 90.00°, γ = 90.00°
Space group P4/mbm (No. 127)
Asymmetric unit:
Li: 0.000 0.000 0.000 [2 per cell]
Al: 0.147 0.353 0.500 [4 per cell]
Ir: 0.149 0.649 0.000 [4 per cell]

energy of formation from the pure elements = -0.877 eV per atom
spin magnetization = 0.000 μB per atom

***

15.
First-principles (meta-GGA SCAN) data for LiAlIr2 at its PBEsol-relaxed geometry, as listed in the Alexandria database.

a = 9.422 Å, b = 2.768 Å, c = 4.408 Å
α = 90.00°, β = 112.72°, γ = 90.00°
Space group Cm (No. 8)
Asymmetric unit:
Li: 0.000 0.000 0.000 [2 per cell]
Al: 0.230 0.000 0.587 [2 per cell]
Ir: 0.252 0.500 0.095 [2 per cell]
Ir: 0.486 0.000 0.500 [2 per cell]

energy of formation from the pure elements = -0.636 eV per atom
spin magnetization = 0.000 μB per atom

***

16.
First-principles (meta-GGA SCAN) data for LiAl2TeIr at its PBEsol-relaxed geometry, as listed in the Alexandria database.

a = 5.350 Å, b = 5.350 Å, c = 4.842 Å
α = 90.00°, β = 90.00°, γ = 90.00°
Space group P4/mmm (No. 123)
Asymmetric unit:
Li: 0.000 0.000 0.000 [1 per cell]
Al: 0.000 0.500 0.500 [2 per cell]
Te: 0.500 0.500 0.500 [1 per cell]
Ir: 0.500 0.500 0.000 [1 per cell]

E = -24.183 eV per atom
spin magnetization = 0.000 μB per atom

***

17.
First-principles (meta-GGA SCAN) data for Lu2Al9Ir3 at its PBEsol-relaxed geometry, as listed in the Alexandria database.

a = 12.878 Å, b = 7.510 Å, c = 9.317 Å
α = 90.00°, β = 90.00°, γ = 90.00°
Space group Cmcm (No. 63)
Asymmetric unit:
Lu: 0.161 0.166 0.250 [8 per cell]
Al: 0.000 0.128 0.750 [4 per cell]
Al: 0.000 0.332 0.054 [8 per cell]
Al: 0.105 0.446 0.750 [8 per cell]
Al: 0.168 0.168 0.576 [16 per cell]
Ir: 0.000 0.000 0.000 [4 per cell]
Ir: 0.172 0.500 0.000 [8 per cell]

energy of formation from the pure elements = -0.997 eV per atom
spin magnetization = 0.005 μB per atom

***

18.
First-principles (meta-GGA SCAN) data for MgAlIr2 at its PBEsol-relaxed geometry, as listed in the Alexandria database.

a = 6.051 Å, b = 6.051 Å, c = 6.051 Å
α = 90.00°, β = 90.00°, γ = 90.00°
Space group Fm-3m (No. 225)
Asymmetric unit:
Mg: 0.000 0.000 0.000 [4 per cell]
Al: 0.000 0.000 0.500 [4 per cell]
Ir: 0.250 0.250 0.250 [8 per cell]

energy of formation from the pure elements = -0.896 eV per atom
spin magnetization = 0.000 μB per atom

***

19.
First-principles (meta-GGA SCAN) data for MgAlIr2 at its PBEsol-relaxed geometry, as listed in the Alexandria database.

a = 2.8497 Å, b = 2.8497 Å, c = 24.9068 Å
α = 90.00°, β = 90.00°, γ = 120.00°
Space group R-3m (No. 166, hexagonal axes)
Asymmetric unit:
Mg: 0.0000 0.0000 0.0000 [3 per cell]
Al: 0.0000 0.0000 0.5000 [3 per cell]
Ir: 0.0000 0.0000 0.2445 [6 per cell]

energy of formation from the pure elements = -0.561 eV per atom
spin magnetization = 0.000 μB per atom

***

20.
First-principles (meta-GGA SCAN) data for MgAl2Ir at its PBEsol-relaxed geometry, as listed in the Alexandria database.

a = 4.197 Å, b = 4.197 Å, c = 6.670 Å
α = 90.00°, β = 90.00°, γ = 90.00°
Space group I4/mmm (No. 139)
Asymmetric unit:
Mg: 0.000 0.000 0.000 [2 per cell]
Al: 0.000 0.500 0.250 [4 per cell]
Ir: 0.000 0.000 0.500 [2 per cell]

energy of formation from the pure elements = -0.665 eV per atom
spin magnetization = 0.000 μB per atom

***

21.
First-principles (meta-GGA SCAN) data for Mg2AlIr at its PBEsol-relaxed geometry, as listed in the Alexandria database.

a = 3.036 Å, b = 4.251 Å, c = 5.466 Å
α = 90.00°, β = 105.98°, γ = 90.00°
Space group Pm (No. 6)
Asymmetric unit:
Mg: 0.000 0.000 0.000 [1 per cell]
Mg: 0.336 0.500 0.674 [1 per cell]
Al: 0.615 0.500 0.231 [1 per cell]
Ir: 0.729 0.000 0.461 [1 per cell]

energy of formation from the pure elements = -0.414 eV per atom
spin magnetization = 0.000 μB per atom

***

22.
First-principles (meta-GGA SCAN) data for MgAl2IrRu at its PBEsol-relaxed geometry, as listed in the Alexandria database.

a = 4.558 Å, b = 4.558 Å, c = 4.723 Å
α = 90.00°, β = 90.00°, γ = 90.00°
Space group P4/mmm (No. 123)
Asymmetric unit:
Mg: 0.000 0.000 0.000 [1 per cell]
Al: 0.000 0.500 0.500 [2 per cell]
Ir: 0.000 0.000 0.500 [1 per cell]
Ru: 0.500 0.500 0.000 [1 per cell]

energy of formation from the pure elements = 0.371 eV per atom
spin magnetization = 0.467 μB per atom

***

23.
First-principles (meta-GGA SCAN) data for MgAlSiIr2 at its PBEsol-relaxed geometry, as listed in the Alexandria database.

a = 4.413 Å, b = 4.413 Å, c = 4.612 Å
α = 90.00°, β = 90.00°, γ = 90.00°
Space group P4/mmm (No. 123)
Asymmetric unit:
Mg: 0.000 0.000 0.000 [1 per cell]
Al: 0.500 0.500 0.000 [1 per cell]
Si: 0.000 0.000 0.500 [1 per cell]
Ir: 0.000 0.500 0.500 [2 per cell]

E = -32.542 eV per atom
spin magnetization = 0.000 μB per atom

***

24.
First-principles (meta-GGA SCAN) data for MgTaAl2Ir at its PBEsol-relaxed geometry, as listed in the Alexandria database.

a = 4.653 Å, b = 4.653 Å, c = 4.979 Å
α = 90.00°, β = 90.00°, γ = 90.00°
Space group P4/mmm (No. 123)
Asymmetric unit:
Mg: 0.000 0.000 0.000 [1 per cell]
Ta: 0.500 0.500 0.000 [1 per cell]
Al: 0.000 0.500 0.500 [2 per cell]
Ir: 0.500 0.500 0.500 [1 per cell]

energy of formation from the pure elements = 0.177 eV per atom
spin magnetization = 0.000 μB per atom

***

25.
First-principles (meta-GGA SCAN) data for MnAlIr2 at its PBEsol-relaxed geometry, as listed in the Alexandria database.

a = 4.222 Å, b = 4.222 Å, c = 3.011 Å
α = 90.00°, β = 90.00°, γ = 90.00°
Space group P4/mmm (No. 123)
Asymmetric unit:
Mn: 0.000 0.000 0.000 [1 per cell]
Al: 0.500 0.500 0.000 [1 per cell]
Ir: 0.000 0.500 0.500 [2 per cell]

energy of formation from the pure elements = -0.897 eV per atom
spin magnetization = 0.999 μB per atom

***

26.
First-principles (meta-GGA SCAN) data for MnAl2Ir at its PBEsol-relaxed geometry, as listed in the Alexandria database.

a = 2.895 Å, b = 4.155 Å, c = 8.823 Å
α = 90.00°, β = 90.00°, γ = 90.00°
Space group Imm2 (No. 44)
Asymmetric unit:
Mn: 0.000 0.000 0.000 [2 per cell]
Al: 0.000 0.000 0.510 [2 per cell]
Al: 0.000 0.500 0.737 [2 per cell]
Ir: 0.000 0.500 0.254 [2 per cell]

energy of formation from the pure elements = -0.691 eV per atom
spin magnetization = 0.798 μB per atom

***

27.
First-principles (meta-GGA SCAN) data for MnAlIr at its PBEsol-relaxed geometry, as listed in the Alexandria database.

a = 4.1494 Å, b = 4.1494 Å, c = 2.7666 Å
α = 90.00°, β = 90.00°, γ = 120.00°
Space group P3m1 (No. 156)
Asymmetric unit:
Mn: 0.0000 0.0000 0.0000 [1 per cell]
Al: 0.3333 0.6667 0.3566 [1 per cell]
Ir: 0.6667 0.3333 0.6352 [1 per cell]

energy of formation from the pure elements = -0.627 eV per atom
spin magnetization = 1.334 μB per atom